# 1
This record from Alexandria describes an optimized crystal structure of ZnPbCl2. The functional is GGA-PBE.

Lattice parameters (Å, degrees): 5.1502 5.1502 7.5385 90.00 90.00 90.00
Last column: nearest neighbours and their distance in Å.
Space group I4/mmm (No. 139)
Asymmetric unit:
Zn (0.0000, 0.0000, 0.0000) (multiplicity 2)  8 Cl 3.19
Pb (0.0000, 0.0000, 0.5000) (multiplicity 2)  8 Cl 3.19
Cl (0.0000, 0.5000, 0.2500) (multiplicity 4)  4 Pb 3.19, 4 Zn 3.19

formation energy from raw total energies	-0.4784	eV per atom
total DFT energy (no corrections)	-21.2	eV/cell
E above lowest polymorph	0.191	eV/atom

---

# 2
This record from Alexandria describes an optimized crystal structure of BaCd7Pd5. The functional is GGA-PBE.

Lattice parameters (Å, degrees): 5.7480 9.7283 9.5983 90.00 90.00 90.00
Last column: nearest neighbours and their distance in Å.
Space group Imm2 (No. 44)
Asymmetric unit:
Ba (0.0000, 0.0000, 0.0000) (multiplicity 2)  8 Cd 3.23-3.54, 2 Pd 3.54
Cd (0.0000, 0.0000, 0.3362) (multiplicity 2)  3 Cd 2.99-3.17, 6 Pd 2.99-3.10, 1 Ba 3.23
Cd (0.0000, 0.0000, 0.6473) (multiplicity 2)  4 Pd 2.94, 5 Cd 2.99-3.17
Cd (0.0000, 0.2877, 0.4923) (multiplicity 4)  5 Pd 2.79-2.97, 1 Cd 3.07
Cd (0.0000, 0.3473, 0.9737) (multiplicity 4)  5 Pd 2.87-3.04, 4 Cd 2.97-3.16
Cd (0.0000, 0.5000, 0.2559) (multiplicity 2)  4 Pd 2.80, 6 Cd 3.06-3.09
Pd (0.0000, 0.5000, 0.7150) (multiplicity 2)  4 Pd 2.86, 6 Cd 2.89-3.10
Pd (0.2472, 0.2525, 0.2368) (multiplicity 8)  7 Cd 2.79-3.04, 3 Pd 2.84-2.91

ΔH_f (0 K)	-0.382	eV per atom
total DFT energy (no corrections)	-78.5	eV/cell

---

# 3
This record from Alexandria describes an optimized crystal structure of TlNi2Au2. The functional is GGA-PBE.

Lattice parameters (Å, degrees): 7.5551 7.5551 2.9814 90.00 90.00 90.00
Last column: nearest neighbours and their distance in Å.
Space group P4/mbm (No. 127)
Asymmetric unit:
Tl (0.0000, 0.0000, 0.0000) (multiplicity 2)  4 Au 2.93, 2 Tl 2.98, 8 Ni 3.21
Ni (0.1582, 0.3418, 0.5000) (multiplicity 4)  6 Au 2.65-2.68
Au (0.1364, 0.6364, 0.0000) (multiplicity 4)  6 Ni 2.65-2.68, 1 Au 2.91, 2 Tl 2.93

ΔH_f (0 K)	0.232	eV per atom
total DFT energy (no corrections)	-38.6	eV/cell
E above lowest polymorph	0.092	eV/atom

---

# 4
This record from Alexandria describes an optimized crystal structure of Li5SnAu6. The functional is GGA-PBE.

Lattice parameters (Å, degrees): 4.5032 6.4053 7.1448 90.00 106.93 90.00
Last column: nearest neighbours and their distance in Å.
Space group P2/m (No. 10)
Asymmetric unit:
Li (0.0000, 0.0000, 0.0000) (multiplicity 1)  8 Au 2.67-2.87
Li (0.3343, 0.0000, 0.6676) (multiplicity 2)  8 Au 2.67-2.75
Li (0.3364, 0.5000, 0.6712) (multiplicity 2)  8 Au 2.73-2.85
Sn (0.0000, 0.5000, 0.0000) (multiplicity 1)  8 Au 2.86-2.91, 2 Li 3.14
Au (0.1754, 0.2440, 0.3517) (multiplicity 4)  7 Li 2.67-2.87, 1 Sn 2.91
Au (0.5000, 0.2254, 0.0000) (multiplicity 2)  6 Li 2.67-2.85, 2 Sn 2.86, 1 Au 2.89

ΔH_f (0 K)	-0.491	eV per atom
total DFT energy (no corrections)	-39.1	eV/cell
E above lowest polymorph	0.006	eV/atom

---

# 5
This record from Alexandria describes an optimized crystal structure of CaVZnIn2. The functional is GGA-PBE.

Lattice parameters (Å, degrees): 5.1102 5.1102 5.0128 90.00 90.00 90.00
Last column: nearest neighbours and their distance in Å.
Space group P4/mmm (No. 123)
Asymmetric unit:
Ca (0.0000, 0.0000, 0.0000) (multiplicity 1)  8 In 3.58, 4 V 3.61
V (0.5000, 0.5000, 0.0000) (multiplicity 1)  2 Zn 2.51
Zn (0.5000, 0.5000, 0.5000) (multiplicity 1)  2 V 2.51, 4 In 2.56
In (0.0000, 0.5000, 0.5000) (multiplicity 2)  2 Zn 2.56

ΔH_f (0 K)	0.394	eV per atom
total DFT energy (no corrections)	-15.9	eV/cell

---

# 6
This record from Alexandria describes an optimized crystal structure of NaPrCrN3. The functional is GGA-PBE.

Lattice parameters (Å, degrees): 13.7702 3.7022 7.2038 90.00 106.66 90.00
Last column: nearest neighbours and their distance in Å.
Space group C2/m (No. 12)
Asymmetric unit:
Na (0.1212, 0.0000, 0.0757) (multiplicity 4)  5 N 2.56-2.70
Pr (0.1655, 0.0000, 0.6203) (multiplicity 4)  7 N 2.46-2.69
Cr (0.0094, 0.5000, 0.3147) (multiplicity 4)  4 N 1.77-1.89
N (0.0146, 0.0000, 0.3369) (multiplicity 4)  2 Cr 1.86
N (0.1185, 0.5000, 0.8296) (multiplicity 4)  1 Cr 1.77
N (0.1499, 0.5000, 0.3427) (multiplicity 4)  1 Cr 1.89

formation energy from raw total energies	-0.4200	eV per atom
total DFT energy (no corrections)	-172.9	eV/cell

---

# 7
This record from Alexandria describes an optimized crystal structure of Pa2InPdN5. The functional is GGA-PBE.

Lattice parameters (Å, degrees): 3.5557 12.7948 10.9253 90.00 90.00 90.00
Last column: nearest neighbours and their distance in Å.
Space group Cmc2_1 (No. 36)
Asymmetric unit:
Pa (0.0000, 0.0908, 0.0000) (multiplicity 4)  4 N 2.18-2.35
Pa (0.0000, 0.1540, 0.6021) (multiplicity 4)  6 N 2.25-2.40
In (0.0000, 0.2088, 0.3127) (multiplicity 4)  4 N 2.18-2.25
Pd (0.0000, 0.4791, 0.7765) (multiplicity 4)  3 N 2.03-2.18
N (0.0000, 0.0649, 0.4199) (multiplicity 4)  2 Pa 2.18-2.29, 1 In 2.18, 2 Pd 2.44
N (0.0000, 0.2669, 0.0158) (multiplicity 4)  3 Pa 2.25-2.26
N (0.0000, 0.3241, 0.6930) (multiplicity 4)  1 Pd 2.18, 2 In 2.25, 1 Pa 2.39
N (0.0000, 0.3747, 0.3654) (multiplicity 4)  1 Pd 2.11, 1 In 2.20, 2 Pa 2.35
N (0.0000, 0.4717, 0.0997) (multiplicity 4)  1 Pd 2.03

formation energy from raw total energies	-0.5831	eV per atom
total DFT energy (no corrections)	-295.2	eV/cell

---

# 8
This record from Alexandria describes an optimized crystal structure of CsTh2P3O12. The functional is GGA-PBE.

Lattice parameters (Å, degrees): 18.1516 7.0296 8.2749 90.00 103.37 90.00
Last column: nearest neighbours and their distance in Å.
Space group C2/c (No. 15)
Asymmetric unit:
Cs (0.0000, 0.0892, 0.2500) (multiplicity 4)  8 O 2.98-3.30
Th (0.1552, 0.4053, 0.0315) (multiplicity 8)  8 O 2.38-2.59
P (0.0000, 0.4105, 0.7500) (multiplicity 4)  4 O 1.55-1.56
P (0.1937, 0.0934, 0.6792) (multiplicity 8)  4 O 1.53-1.58
O (0.0288, 0.2921, 0.9100) (multiplicity 8)  1 P 1.55
O (0.0716, 0.4698, 0.2409) (multiplicity 8)  1 P 1.56
O (0.1476, 0.0912, 0.1432) (multiplicity 8)  1 P 1.54
O (0.1570, 0.2593, 0.5690) (multiplicity 8)  1 P 1.53
O (0.2055, 0.1529, 0.8673) (multiplicity 8)  1 P 1.58
O (0.2221, 0.4455, 0.3296) (multiplicity 8)  1 P 1.57

formation energy from raw total energies	-2.8809	eV per atom
total DFT energy (no corrections)	-573.1	eV/cell

---

# 9
This record from Alexandria describes an optimized crystal structure of BeSb2Se. The functional is GGA-PBE.

Lattice parameters (Å, degrees): 4.4070 3.9269 6.5440 90.00 107.10 90.00
Last column: nearest neighbours and their distance in Å.
Space group Pm (No. 6)
Asymmetric unit:
Be (0.0000, 0.0000, 0.0000) (multiplicity 1)  2 Se 2.27, 1 Sb 2.53
Sb (0.4339, 0.5000, 0.4761) (multiplicity 1)  1 Se 2.69, 2 Sb 2.84
Sb (0.5829, 0.0000, 0.2062) (multiplicity 1)  2 Be 2.53-2.58
Se (0.9530, 0.5000, 0.8183) (multiplicity 1)  2 Be 2.27

formation energy from raw total energies	-0.0792	eV per atom
total DFT energy (no corrections)	-15.8	eV/cell
E above lowest polymorph	0.000	eV/atom

---

# 10
This record from Alexandria describes an optimized crystal structure of Pr3Si2SnPd9. The functional is GGA-PBE.

Lattice parameters (Å, degrees): 6.4147 6.4147 9.1735 90.00 90.00 120.00
Last column: nearest neighbours and their distance in Å.
Space group P-3m1 (No. 164)
Asymmetric unit:
Pr (0.0000, 0.0000, 0.0000) (multiplicity 1)  12 Pd 2.99-3.21
Pr (0.3333, 0.6667, 0.6997) (multiplicity 2)  9 Pd 3.22-3.32
Si (0.3333, 0.6667, 0.1672) (multiplicity 2)  6 Pd 2.28-2.40
Sn (0.0000, 0.0000, 0.5000) (multiplicity 1)  6 Pd 2.65
Pd (0.0000, 0.5000, 0.0000) (multiplicity 3)  2 Si 2.40
Pd (0.1475, 0.2950, 0.2730) (multiplicity 6)  1 Si 2.28

formation energy from raw total energies	-0.6263	eV per atom
total DFT energy (no corrections)	-85.3	eV/cell